i) The following is a GGA-PBE calculation of a relaxed Cu2Tc crystal, from the Alexandria database.

Properties
magnetization	0.000	Bohr magnetons per cell

a b c (Å): 5.3366 3.6953 8.0005
angles (deg): 90.00 90.00 90.00
Space group Pnma (No. 62)
Unique sites:
Cu1 0.1054 0.2500 0.0899 x4
Cu2 0.1319 0.2500 0.7572 x4
Tc1 0.1019 0.2500 0.4302 x4



ii) The following is a GGA-PBE calculation of a relaxed Cu2Tc crystal, from the Alexandria database.

Properties
magnetization	0.000	Bohr magnetons per cell

a b c (Å): 3.8023 3.8023 21.8032
angles (deg): 90.00 90.00 90.00
Space group I4_1/amd (No. 141, origin choice 2)
Unique sites:
Cu1 0.0000 0.2500 0.1225 x8
Cu2 0.0000 0.2500 0.7963 x8
Tc1 0.0000 0.2500 0.2853 x8



iii) The following is a GGA-PBE calculation of a relaxed Cu2Tc crystal, from the Alexandria database.

Properties
magnetization	0.000	Bohr magnetons per cell

a b c (Å): 6.7018 6.7018 6.7018
angles (deg): 90.00 90.00 90.00
Space group Fd-3m (No. 227, origin choice 2)
Unique sites:
Cu1 0.0000 0.0000 0.0000 x16
Tc1 0.1250 0.1250 0.6250 x8



Which is most stable, and by how much? iii), by 26 meV per atom.



i) The following is a GGA-PBE calculation of a relaxed Cu2Tc crystal, from the Alexandria database.

Properties
magnetization	0.003	Bohr magnetons per cell

a b c (Å): 6.0785 6.0785 4.7093
angles (deg): 90.00 90.00 90.00
Space group I4/mcm (No. 140)
Unique sites:
Cu1 0.1445 0.3555 0.0000 x8
Tc1 0.0000 0.0000 0.2500 x4



ii) The following is a GGA-PBE calculation of a relaxed Cu2Tc crystal, from the Alexandria database.

Properties
magnetization	0.001	Bohr magnetons per cell

a b c (Å): 4.2659 4.2659 2.4543
angles (deg): 90.00 90.00 120.00
Space group P6/mmm (No. 191)
Unique sites:
Cu1 0.3333 0.6667 0.0000 x2
Tc1 0.0000 0.0000 0.5000 x1



iii) The following is a GGA-PBE calculation of a relaxed Cu2Tc crystal, from the Alexandria database.

Properties
magnetization	0.000	Bohr magnetons per cell

a b c (Å): 4.7868 4.7868 7.5980
angles (deg): 90.00 90.00 120.00
Space group P6_3/mmc (No. 194)
Unique sites:
Cu1 0.0000 0.0000 0.0000 x2
Cu2 0.1713 0.3427 0.2500 x6
Tc1 0.3333 0.6667 0.5710 x4



Which is most stable, and by how much? iii), by 80 meV per atom.



i) The following is a GGA-PBE calculation of a relaxed Cu2Tc crystal, from the Alexandria database.

Properties
magnetization	0.000	Bohr magnetons per cell

a b c (Å): 9.9713 2.6236 6.2802
angles (deg): 90.00 106.36 90.00
Space group Cm (No. 8)
Unique sites:
Cu1 0.0000 0.0000 0.0000 x2
Cu2 0.0434 0.0000 0.6087 x2
Cu3 0.1536 0.5000 0.3443 x2
Cu4 0.3282 0.0000 0.6624 x2
Tc1 0.2205 0.5000 0.9430 x2
Tc2 0.3724 0.0000 0.2646 x2



ii) The following is a GGA-PBE calculation of a relaxed Cu2Tc crystal, from the Alexandria database.

Properties
magnetization	0.961	Bohr magnetons per cell

a b c (Å): 4.5341 4.5341 2.4730
angles (deg): 90.00 90.00 90.00
Space group P4/mmm (No. 123)
Unique sites:
Cu1 0.0000 0.5000 0.0000 x2
Tc1 0.0000 0.0000 0.5000 x1



iii) The following is a GGA-PBE calculation of a relaxed Cu2Tc crystal, from the Alexandria database.

Properties
magnetization	0.722	Bohr magnetons per cell

a b c (Å): 2.5312 3.6988 8.3089
angles (deg): 90.00 90.00 90.00
Space group Immm (No. 71)
Unique sites:
Cu1 0.0000 0.0000 0.1731 x4
Tc1 0.0000 0.0000 0.5000 x2



iv) The following is a GGA-PBE calculation of a relaxed Cu2Tc crystal, from the Alexandria database.

Properties
magnetization	2.045	Bohr magnetons per cell

a b c (Å): 4.2385 4.2385 5.1107
angles (deg): 90.00 90.00 120.00
Space group P6_3/mmc (No. 194)
Unique sites:
Cu1 0.0000 0.0000 0.0000 x2
Cu2 0.3333 0.6667 0.2500 x2
Tc1 0.3333 0.6667 0.7500 x2



Which is most stable, and by how much? i), by 88 meV per atom.



i) The following is a GGA-PBE calculation of a relaxed Cu2Tc crystal, from the Alexandria database.

Properties
magnetization	3.686	Bohr magnetons per cell

a b c (Å): 2.4855 4.1478 16.2857
angles (deg): 90.00 90.00 90.00
Space group Imma (No. 74)
Unique sites:
Cu1 0.0000 0.2500 0.0355 x4
Cu2 0.0000 0.2500 0.1855 x4
Tc1 0.0000 0.2500 0.6169 x4



ii) The following is a GGA-PBE calculation of a relaxed Cu2Tc crystal, from the Alexandria database.

Properties
magnetization	0.000	Bohr magnetons per cell

a b c (Å): 2.5216 2.5216 25.3020
angles (deg): 90.00 90.00 90.00
Space group I4_1/amd (No. 141, origin choice 2)
Unique sites:
Cu1 0.0000 0.2500 0.2931 x8
Tc1 0.0000 0.2500 0.8750 x4



iii) The following is a GGA-PBE calculation of a relaxed Cu2Tc crystal, from the Alexandria database.

Properties
magnetization	2.519	Bohr magnetons per cell

a b c (Å): 2.5414 13.9535 4.4179
angles (deg): 90.00 90.00 90.00
Space group Cmcm (No. 63)
Unique sites:
Cu1 0.0000 0.0574 0.2500 x4
Cu2 0.0000 0.2787 0.7500 x4
Tc1 0.0000 0.3903 0.2500 x4



iv) The following is a GGA-PBE calculation of a relaxed Cu2Tc crystal, from the Alexandria database.

Properties
magnetization	0.000	Bohr magnetons per cell

a b c (Å): 10.0953 2.5438 6.2647
angles (deg): 90.00 103.70 90.00
Space group C2/m (No. 12)
Unique sites:
Cu1 0.1379 0.0000 0.0219 x4
Cu2 0.2087 0.0000 0.6527 x4
Tc1 0.0226 0.5000 0.3187 x4



Which is most stable, and by how much? iv), by 78 meV per atom.



i) The following is a GGA-PBE calculation of a relaxed Cu5Tc crystal, from the Alexandria database.

Properties
magnetization	0.662	Bohr magnetons per cell

a b c (Å): 4.3016 2.5365 13.7773
angles (deg): 90.00 90.00 90.00
Space group Amm2 (No. 38)
Unique sites:
Cu1 0.0000 0.0000 0.0000 x2
Cu2 0.0000 0.0000 0.3289 x2
Cu3 0.0000 0.0000 0.6652 x2
Cu4 0.5000 0.0000 0.1103 x2
Cu5 0.5000 0.0000 0.7712 x2
Tc1 0.5000 0.0000 0.4410 x2



ii) The following is a GGA-PBE calculation of a relaxed Cu5Tc crystal, from the Alexandria database.

Properties
magnetization	7.737	Bohr magnetons per cell

a b c (Å): 6.7381 6.7381 6.7381
angles (deg): 90.00 90.00 90.00
Space group F-43m (No. 216)
Unique sites:
Cu1 0.0000 0.0000 0.0000 x4
Cu2 0.1251 0.1251 0.6251 x16
Tc1 0.2500 0.2500 0.2500 x4



iii) The following is a GGA-PBE calculation of a relaxed Cu5Tc crystal, from the Alexandria database.

Properties
magnetization	1.805	Bohr magnetons per cell

a b c (Å): 4.7089 4.7089 4.1295
angles (deg): 90.00 90.00 120.00
Space group P6/mmm (No. 191)
Unique sites:
Cu1 0.0000 0.5000 0.0000 x3
Cu2 0.3333 0.6667 0.5000 x2
Tc1 0.0000 0.0000 0.5000 x1



Which is most stable, and by how much? i), by 155 meV per atom.



i) The following is a GGA-PBE calculation of a relaxed CuTc3 crystal, from the Alexandria database.

Properties
magnetization	0.000	Bohr magnetons per cell

a b c (Å): 2.7472 4.3405 4.6939
angles (deg): 90.00 90.00 90.00
Space group Pmm2 (No. 25)
Unique sites:
Cu1 0.0000 0.0000 0.0000 x1
Tc1 0.0000 0.5000 0.3280 x1
Tc2 0.5000 0.0000 0.5060 x1
Tc3 0.5000 0.5000 0.8390 x1



ii) The following is a GGA-PBE calculation of a relaxed CuTc3 crystal, from the Alexandria database.

Properties
magnetization	0.000	Bohr magnetons per cell

a b c (Å): 5.3689 7.6904 2.7217
angles (deg): 90.00 90.00 90.00
Space group Cmmm (No. 65)
Unique sites:
Cu1 0.0000 0.0000 0.0000 x2
Tc1 0.0000 0.5000 0.0000 x2
Tc2 0.2500 0.2500 0.5000 x4



iii) The following is a GGA-PBE calculation of a relaxed CuTc3 crystal, from the Alexandria database.

Properties
magnetization	0.000	Bohr magnetons per cell

a b c (Å): 9.0971 2.7318 4.6260
angles (deg): 90.00 100.81 90.00
Space group C2/m (No. 12)
Unique sites:
Cu1 0.0000 0.0000 0.0000 x2
Tc1 0.0000 0.5000 0.5000 x2
Tc2 0.2462 0.0000 0.7430 x4



Which is most stable, and by how much? i), by 72 meV per atom.



i) The following is a GGA-PBE calculation of a relaxed Cu4Tc5 crystal, from the Alexandria database.

Properties
magnetization	0.000	Bohr magnetons per cell

a b c (Å): 7.4200 7.4200 5.1038
angles (deg): 90.00 90.00 120.00
Space group P6_3/mcm (No. 193)
Unique sites:
Cu1 0.0000 0.0000 0.0000 x2
Cu2 0.0000 0.3685 0.2500 x6
Tc1 0.0000 0.3007 0.7500 x6
Tc2 0.3333 0.6667 0.0000 x4



ii) The following is a GGA-PBE calculation of a relaxed Cu4Tc5 crystal, from the Alexandria database.

Properties
magnetization	0.000	Bohr magnetons per cell

a b c (Å): 8.0538 8.0538 3.7358
angles (deg): 90.00 90.00 90.00
Space group I4/mmm (No. 139)
Unique sites:
Cu1 0.0000 0.3374 0.0000 x8
Tc1 0.0000 0.0000 0.0000 x2
Tc2 0.1660 0.1660 0.5000 x8



Which is most stable, and by how much? ii), by 248 meV per atom.



i) The following is a GGA-PBE calculation of a relaxed CuTc2Te2 crystal, from the Alexandria database.

Properties
magnetization	0.000	Bohr magnetons per cell

a b c (Å): 7.6165 7.6165 3.1853
angles (deg): 90.00 90.00 90.00
Space group P4/mbm (No. 127)
Unique sites:
Cu1 0.0000 0.0000 0.0000 x2
Tc1 0.1437 0.3563 0.5000 x4
Te1 0.1537 0.6537 0.0000 x4



ii) The following is a GGA-PBE calculation of a relaxed CuTc2Te2 crystal, from the Alexandria database.

Properties
magnetization	0.000	Bohr magnetons per cell

a b c (Å): 3.7529 3.7529 15.2623
angles (deg): 90.00 90.00 90.00
Space group I4/mmm (No. 139)
Unique sites:
Cu1 0.0000 0.0000 0.0000 x2
Tc1 0.0000 0.5000 0.2500 x4
Te1 0.0000 0.0000 0.3810 x4



Which is most stable, and by how much? ii), by 108 meV per atom.



i) The following is a GGA-PBE calculation of a relaxed Ti3CuTc crystal, from the Alexandria database.

Properties
magnetization	0.002	Bohr magnetons per cell

a b c (Å): 4.4913 4.4913 4.4913
angles (deg): 90.00 90.00 90.00
Space group Pm-3m (No. 221)
Unique sites:
Ti1 0.0000 0.0000 0.5000 x3
Cu1 0.0000 0.0000 0.0000 x1
Tc1 0.5000 0.5000 0.5000 x1



ii) The following is a GGA-PBE calculation of a relaxed Ti3CuTc crystal, from the Alexandria database.

Properties
magnetization	1.008	Bohr magnetons per cell

a b c (Å): 4.6877 4.6877 4.6877
angles (deg): 90.00 90.00 90.00
Space group Pm-3m (No. 221)
Unique sites:
Ti1 0.0000 0.0000 0.5000 x3
Cu1 0.5000 0.5000 0.5000 x1
Tc1 0.0000 0.0000 0.0000 x1



Which is most stable, and by how much? ii), by 165 meV per atom.